Record 1
# Pr2YF8

A geometry-optimized Pr2YF8 structure (PBE-GGA, the Alexandria database).

Unit cell a=15.099 b=3.863 c=5.706 alpha=90.00 beta=111.31 gamma=90.00
Space group C2/m (No. 12)
One atom of each set of equivalent atoms:
Pr 0.172 0.000 0.175
Y 0.000 0.500 0.500
F 0.037 0.000 0.297
F 0.089 0.500 0.934
F 0.170 0.500 0.460
F 0.225 0.000 0.826


Record 2
# Pr2ZnF8

A geometry-optimized Pr2ZnF8 structure (PBE-GGA, the Alexandria database).

Unit cell a=7.430 b=11.075 c=4.429 alpha=90.00 beta=104.76 gamma=90.00
Space group Cm (No. 8)
One atom of each set of equivalent atoms:
Pr 0.000 0.172 0.000
Zn 0.499 0.000 0.997
F 0.123 0.000 0.286
F 0.182 0.367 0.055
F 0.317 0.133 0.942
F 0.378 0.500 0.714
F 0.499 0.261 0.499


Record 3
# Pr2ZnF

A geometry-optimized Pr2ZnF structure (PBE-GGA, the Alexandria database).

Computed properties:
E above lowest polymorph (meV/atom): 0

Unit cell a=3.9741 b=3.9741 c=20.6708 alpha=90.00 beta=90.00 gamma=120.00
Space group R-3m (No. 166, hexagonal axes)
One atom of each set of equivalent atoms:
Pr 0.0000 0.0000 0.2376
Zn 0.0000 0.0000 0.0000
F 0.0000 0.0000 0.5000


Record 4
# Pr2ZnF

A geometry-optimized Pr2ZnF structure (PBE-GGA, the Alexandria database).

Computed properties:
E above lowest polymorph (meV/atom): 170

Unit cell a=3.350 b=3.350 c=7.841 alpha=90.00 beta=90.00 gamma=90.00
Space group P4/mmm (No. 123)
One atom of each set of equivalent atoms:
Pr 0.000 0.000 0.241
Zn 0.500 0.500 0.500
F 0.500 0.500 0.000


Record 5
# PrZrF

A geometry-optimized PrZrF structure (PBE-GGA, the Alexandria database).

Unit cell a=4.780 b=4.790 c=11.384 alpha=90.00 beta=90.00 gamma=90.00
Space group Cmme (No. 67)
One atom of each set of equivalent atoms:
Pr 0.000 0.250 0.165
Zr 0.000 0.250 0.591
F 0.000 0.250 0.936


Record 6
# PrZrF7

A geometry-optimized PrZrF7 structure (PBE-GGA, the Alexandria database).

Unit cell a=6.325 b=5.977 c=8.562 alpha=90.00 beta=102.63 gamma=90.00
Space group P2_1 (No. 4)
One atom of each set of equivalent atoms:
Pr 0.156 0.000 0.189
Zr 0.313 0.008 0.725
F 0.048 0.698 0.021
F 0.074 0.773 0.710
F 0.098 0.268 0.708
F 0.266 0.001 0.481
F 0.356 0.015 0.967
F 0.445 0.274 0.255
F 0.452 0.745 0.267


Record 7
# PrZr2F11

A geometry-optimized PrZr2F11 structure (PBE-GGA, the Alexandria database).

Unit cell a=7.899 b=10.204 c=11.102 alpha=90.00 beta=90.00 gamma=90.00
Space group Ibam (No. 72)
One atom of each set of equivalent atoms:
Pr 0.000 0.000 0.250
Zr 0.134 0.319 0.000
F 0.000 0.500 0.000
F 0.102 0.184 0.137
F 0.129 0.282 0.500
F 0.235 0.077 0.370


Record 8
# PtF

A geometry-optimized PtF structure (PBE-GGA, the Alexandria database).

Computed properties:
E above lowest polymorph (meV/atom): 245

Unit cell a=2.7566 b=2.7566 c=8.2523 alpha=90.00 beta=90.00 gamma=120.00
Space group P6_3mc (No. 186)
One atom of each set of equivalent atoms:
Pt 0.3333 0.6667 0.0000
F 0.3333 0.6667 0.7556


Record 9
# PtF

A geometry-optimized PtF structure (PBE-GGA, the Alexandria database).

Computed properties:
E above lowest polymorph (meV/atom): 47

Unit cell a=9.434 b=9.434 c=2.746 alpha=90.00 beta=90.00 gamma=90.00
Space group I4/mmm (No. 139)
One atom of each set of equivalent atoms:
Pt 0.158 0.158 0.000
F 0.000 0.303 0.000


Record 10
# PtF

A geometry-optimized PtF structure (PBE-GGA, the Alexandria database).

Computed properties:
E above lowest polymorph (meV/atom): 0

Unit cell a=4.098 b=2.767 c=4.824 alpha=90.00 beta=90.00 gamma=90.00
Space group Amm2 (No. 38)
One atom of each set of equivalent atoms:
Pt 0.000 0.000 0.000
F 0.500 0.000 0.039


Record 11
# PtF

A geometry-optimized PtF structure (PBE-GGA, the Alexandria database).

Computed properties:
E above lowest polymorph (meV/atom): 65

Unit cell a=3.591 b=6.865 c=9.746 alpha=90.00 beta=90.00 gamma=90.00
Space group P2_12_12_1 (No. 19)
One atom of each set of equivalent atoms:
Pt 0.002 0.105 0.268
Pt 0.201 0.629 0.978
F 0.212 0.072 0.061
F 0.238 0.152 0.801


Record 12
# PtF

A geometry-optimized PtF structure (PBE-GGA, the Alexandria database).

Computed properties:
E above lowest polymorph (meV/atom): 425

Unit cell a=8.519 b=8.519 c=2.735 alpha=90.00 beta=90.00 gamma=90.00
Space group P4_2/mnm (No. 136)
One atom of each set of equivalent atoms:
Pt 0.098 0.098 0.000
F 0.229 0.229 0.500


We obtain magnetic moment values of 2.0; 0.3; 0.0; 0.0; 0.0; 0.1; 0.0; 0.3; 0.0; 0.0; 0.0; 1.1 Bohr magnetons per cell for the records listed above, in that order.
We obtain energy relative to the elements, uncorrected values of -3.8283; -3.5045; -1.2579; -1.0876; -1.4829; -3.8850; -3.8170; -0.3206; -0.5183; -0.5655; -0.5007; -0.1407 eV/atom for the records listed above, in that order.